(1)
Compound: CeHoBiN2
Source: the Alexandria database
Functional: PBE-GGA
Structure: optimized geometry

Geometry as POSCAR:
```
CeHoBiN2
1.0
5.597 0.000 0.000
0.000 5.576 0.000
0.000 -2.788 7.227
Ce Ho Bi N
2 2 2 4
direct
0.250 0.573 0.147
0.750 0.427 0.853
0.250 0.928 0.856
0.750 0.072 0.144
0.750 0.751 0.502
0.250 0.249 0.498
0.500 0.256 0.000
0.000 0.744 0.000
0.500 0.744 0.000
0.000 0.256 0.000
```

* ρ: 8.0 Mg/m³
* raw total energy: -36.639 eV per formula unit
* uncorrected formation energy: -5.60 eV/f.u.

(2)
Compound: BaPPb3
Source: the Alexandria database
Functional: PBE-GGA
Structure: optimized geometry

Geometry as POSCAR:
```
BaPPb3
1.0
5.592 0.000 0.000
0.000 5.592 0.000
0.000 0.000 5.592
Pb P Ba
3 1 1
direct
0.000 0.500 0.000
0.000 0.000 0.500
0.500 0.000 0.000
0.000 0.000 0.000
0.500 0.500 0.500
```

* offset from the most stable computed form: 0.0 meV per atom
* ρ: 7.5 Mg/m³
* energy of formation: 7.1 meV per atom
* raw total energy: -18.422 eV per formula unit

(3)
Compound: BeB2Pb
Source: the Alexandria database
Functional: PBE-GGA
Structure: optimized geometry

Geometry as POSCAR:
```
BeB2Pb
1.0
3.902 0.000 0.000
0.000 3.902 0.000
1.951 1.951 6.589
Pb Be B
2 2 4
direct
0.000 0.000 0.000
0.750 0.250 0.500
0.500 0.500 0.000
0.250 0.750 0.500
0.467 0.125 0.250
0.283 0.625 0.250
0.375 0.533 0.750
0.875 0.717 0.750
```

* offset from the most stable computed form: 0.0 meV per atom
* ρ: 7.9 Mg/m³
* energy of formation: 809.9 meV per atom
* raw total energy: -17.550 eV per formula unit

(4)
Compound: BaZrAg2
Source: the Alexandria database
Functional: PBE-GGA
Structure: optimized geometry

Geometry as POSCAR:
```
BaZrAg2
1.0
-7.139 -0.519 4.189
-4.182 -0.249 -7.157
-5.423 -3.798 -1.504
Zr Ba Ag
2 2 4
direct
0.500 0.500 0.000
0.250 0.750 0.500
0.000 0.000 0.000
0.750 0.250 0.500
0.577 0.125 0.250
0.173 0.625 0.250
0.375 0.423 0.750
0.875 0.827 0.750
```

* offset from the most stable computed form: 416.7 meV per atom
* ρ: 6.3 Mg/m³
* energy of formation: 426.5 meV per atom
* raw total energy: -14.468 eV per formula unit